HfGeBi3 PBE relaxed; energy of formation = 4.47 eV/f.u.; total magnetization = 0.0 μB/cell; raw total energy = -21.74 eV for the cell shown
1.0
5.4144 0.0000 0.0000
0.0000 5.4144 0.0000
0.0000 0.0000 5.4144
Hf Ge Bi
1 1 3
Direct
0.0000 0.0000 0.0000
0.5000 0.5000 0.5000
0.0000 0.5000 0.5000
0.5000 0.0000 0.5000
0.5000 0.5000 0.0000